The following is a PBE-GGA calculation of BeZnBr2 after structural relaxation, from Alexandria via LeMat-Bulk.

Values from the calculation:
ΔE_f (raw): -24.4 kJ per mole of atoms
Calculated density: 2.84 g cm⁻³
Total energy: -9.36 eV per formula unit
Polymorph energy (0 for the lowest one): 103 meV/atom

Cell lengths 4.253, 4.253, 10.616 Å; angles 90.00, 90.00, 134.54 degrees
Atoms (fractional coordinates):
Be: 0.000 0.000 0.000
Zn: 0.000 0.000 0.500
Br: 0.500 0.500 0.149
Br: 0.500 0.500 0.851